The following is a DFT calculation (GGA-PBE) of crystalline CaMgOs at its relaxed geometry.

Calculated values
E_form: 0.37 eV/atom
Total energy: -4.568 eV per atom
Symmetry: No. 156

Unit cell a=4.884 b=4.884 c=2.804 alpha=90.00 beta=90.00 gamma=120.00
Sites, in units of the cell vectors:
Ca1 0.000 0.000 0.000
Mg1 0.667 0.333 0.389
Os1 0.333 0.667 0.592